Entry 1:
# PBE Nd2HgTe, relaxed
data_Nd2HgTe
_chemical_formula_sum 'Nd2 Hg1 Te1'
_symmetry_space_group_name_H-M 'P 1'
_symmetry_Int_Tables_number 1
_cell_length_a 3.989
_cell_length_b 3.989
_cell_length_c 7.223
_cell_angle_alpha 90.00
_cell_angle_beta 90.00
_cell_angle_gamma 90.00
loop_
_symmetry_equiv_pos_as_xyz
'x,y,z'
loop_
_atom_site_label
_atom_site_fract_x
_atom_site_fract_y
_atom_site_fract_z
_atom_site_occupancy
Nd1 0.000 0.000 0.251 1
Nd2 0.000 0.000 0.749 1
Hg1 0.500 0.500 0.000 1
Te1 0.500 0.500 0.500 1
# density of states at the Fermi level = 3.80 states/eV per cell
# formation energy from raw total energies = -0.84 eV per atom
# density = 8.9 g/cm3
# symmetry = No. 123

=====

Entry 2:
# PBE Y3HoEr, relaxed
data_Y3HoEr
_chemical_formula_sum 'Y6 Ho2 Er2'
_symmetry_space_group_name_H-M 'P 1'
_symmetry_Int_Tables_number 1
_cell_length_a 5.619
_cell_length_b 6.287
_cell_length_c 9.603
_cell_angle_alpha 109.11
_cell_angle_beta 90.00
_cell_angle_gamma 90.00
loop_
_symmetry_equiv_pos_as_xyz
'x,y,z'
loop_
_atom_site_label
_atom_site_fract_x
_atom_site_fract_y
_atom_site_fract_z
_atom_site_occupancy
Ho1 0.250 0.269 0.201 1
Ho2 0.750 0.731 0.799 1
Y1 0.750 0.536 0.400 1
Y2 0.250 0.464 0.600 1
Y3 0.250 0.668 0.001 1
Y4 0.750 0.937 0.201 1
Y5 0.250 0.063 0.799 1
Y6 0.750 0.332 0.999 1
Er1 0.250 0.868 0.400 1
Er2 0.750 0.132 0.600 1
# density of states at the Fermi level = 17.33 states/eV per cell
# density = 6.2 g/cm3
# symmetry = No. 11
# ΔE_f = 0 meV per atom

=====

Entry 3:
# PBE LuHfTlCu, relaxed
data_LuHfTlCu
_chemical_formula_sum 'Lu1 Hf1 Tl1 Cu1'
_symmetry_space_group_name_H-M 'P 1'
_symmetry_Int_Tables_number 1
_cell_length_a 4.940
_cell_length_b 4.940
_cell_length_c 4.940
_cell_angle_alpha 60.00
_cell_angle_beta 60.00
_cell_angle_gamma 60.00
loop_
_symmetry_equiv_pos_as_xyz
'x,y,z'
loop_
_atom_site_label
_atom_site_fract_x
_atom_site_fract_y
_atom_site_fract_z
_atom_site_occupancy
Tl1 0.750 0.750 0.750 1
Cu1 0.250 0.250 0.250 1
Lu1 0.000 0.000 0.000 1
Hf1 0.500 0.500 0.500 1
# density of states at the Fermi level = 2.68 states/eV per cell
# density = 12.1 g/cm3
# symmetry = No. 216
# ΔE_f = -2 meV per atom

=====

Entry 4:
# PBE ZrMo2Pb, relaxed
data_ZrMo2Pb
_chemical_formula_sum 'Zr2 Mo4 Pb2'
_symmetry_space_group_name_H-M 'P 1'
_symmetry_Int_Tables_number 1
_cell_length_a 7.633
_cell_length_b 7.633
_cell_length_c 6.117
_cell_angle_alpha 51.39
_cell_angle_beta 51.39
_cell_angle_gamma 90.00
loop_
_symmetry_equiv_pos_as_xyz
'x,y,z'
loop_
_atom_site_label
_atom_site_fract_x
_atom_site_fract_y
_atom_site_fract_z
_atom_site_occupancy
Mo1 0.618 0.125 0.250 1
Mo2 0.375 0.382 0.750 1
Mo3 0.132 0.625 0.250 1
Mo4 0.875 0.868 0.750 1
Zr1 0.250 0.750 0.500 1
Zr2 0.500 0.500 0.000 1
Pb1 0.750 0.250 0.500 1
Pb2 0.000 0.000 0.000 1
# density of states at the Fermi level = 8.96 states/eV per cell
# density = 9.7 g/cm3
# symmetry = No. 122
# ΔE_f = 1018 meV per atom